AcSm2Y6Er3 PBE relaxed; raw total energy = -5.469 eV/atom; DOS(E_F) = 17.230 states/eV/cell; total magnetization = 0.00 Bohr magnetons per cell
1.0
6.244 0.001 0.016
-3.120 5.409 0.016
-1.069 -1.851 11.698
Y Er Sm Ac
6 3 2 1
Direct
0.578 0.913 0.744
0.249 0.249 0.744
0.422 0.087 0.256
0.087 0.422 0.256
0.751 0.751 0.256
0.913 0.578 0.744
0.167 0.833 0.500
0.500 0.500 0.500
0.833 0.167 0.500
0.333 0.667 0.000
0.667 0.333 0.000
0.000 0.000 0.000


AcSmY5Er2 PBE relaxed; raw total energy = -5.425 eV/atom; DOS(E_F) = 25.229 states/eV/cell; total magnetization = 0.00 Bohr magnetons per cell
1.0
-0.939 -1.857 -5.168
11.831 3.045 -0.241
2.294 -8.698 2.708
Y Sm Er Ac
10 2 4 2
Direct
0.992 0.985 0.026
0.008 0.015 0.526
0.604 0.207 0.532
0.310 0.621 0.728
0.690 0.379 0.228
0.525 0.050 0.250
0.475 0.950 0.750
0.258 0.516 0.362
0.742 0.484 0.862
0.396 0.793 0.032
0.762 0.524 0.535
0.238 0.476 0.035
0.887 0.774 0.789
0.113 0.226 0.289
0.830 0.660 0.173
0.170 0.340 0.673
0.602 0.205 0.928
0.398 0.795 0.428


AcSm6Y3Er2 PBE relaxed; raw total energy = -5.050 eV/atom; DOS(E_F) = 15.901 states/eV/cell; total magnetization = 0.00 Bohr magnetons per cell
1.0
6.279 -0.001 0.016
-3.139 5.439 0.016
-1.078 -1.866 11.813
Er Y Sm Ac
2 3 6 1
Direct
0.667 0.333 0.000
0.333 0.667 0.000
0.167 0.833 0.500
0.500 0.500 0.500
0.833 0.167 0.500
0.252 0.252 0.747
0.085 0.421 0.253
0.579 0.915 0.747
0.915 0.579 0.747
0.421 0.085 0.253
0.748 0.748 0.253
0.000 0.000 0.000


AcSm6Y2Er PBE relaxed; raw total energy = -4.866 eV/atom; DOS(E_F) = 29.175 states/eV/cell; total magnetization = 0.00 Bohr magnetons per cell
1.0
-1.754 6.389 6.984
-5.352 -6.176 3.760
8.744 -0.454 2.066
Y Sm Ac Er
4 12 2 2
Direct
0.550 0.208 0.313
0.450 0.792 0.687
0.950 0.687 0.792
0.050 0.313 0.208
0.116 0.710 0.483
0.616 0.483 0.710
0.443 0.245 0.878
0.182 0.551 0.006
0.682 0.006 0.551
0.318 0.994 0.449
0.818 0.449 0.994
0.384 0.517 0.290
0.557 0.755 0.122
0.884 0.290 0.517
0.057 0.122 0.755
0.943 0.878 0.245
0.250 0.967 0.033
0.750 0.033 0.967
0.750 0.588 0.412
0.250 0.412 0.588


AcSmY3Er PBE relaxed; raw total energy = -5.397 eV/atom; DOS(E_F) = 17.592 states/eV/cell; total magnetization = 0.00 Bohr magnetons per cell
1.0
5.713 -0.725 -0.091
-4.403 10.493 1.658
-0.029 -1.112 6.979
Er Y Ac Sm
2 6 2 2
Direct
0.497 0.747 0.499
0.503 0.253 0.501
0.168 0.416 0.741
0.836 0.584 0.743
0.164 0.416 0.257
0.169 0.917 0.257
0.832 0.584 0.259
0.831 0.083 0.743
0.499 0.749 0.001
0.501 0.251 0.999
0.166 0.917 0.737
0.834 0.083 0.263


Ac2Sm3Y6Er PBE relaxed; raw total energy = -5.445 eV/atom; DOS(E_F) = 14.677 states/eV/cell; total magnetization = 0.00 Bohr magnetons per cell
1.0
6.343 0.000 0.004
-3.170 5.494 0.004
-1.063 -1.840 11.787
Y Sm Er Ac
6 3 1 2
Direct
0.754 0.754 0.255
0.246 0.246 0.745
0.084 0.415 0.255
0.585 0.916 0.745
0.415 0.084 0.255
0.916 0.585 0.745
0.500 0.500 0.500
0.833 0.167 0.500
0.167 0.833 0.500
0.000 0.000 0.000
0.666 0.334 0.000
0.334 0.666 0.000


Ac2Sm5YEr PBE relaxed; raw total energy = -4.614 eV/atom; DOS(E_F) = 24.922 states/eV/cell; total magnetization = 0.00 Bohr magnetons per cell
1.0
5.807 0.000 0.000
-2.903 10.271 0.000
0.000 0.000 10.916
Sm Ac Y Er
10 4 2 2
Direct
0.482 0.965 0.742
0.281 0.562 0.309
0.296 0.592 0.703
0.019 0.038 0.022
0.613 0.226 0.521
0.387 0.774 0.021
0.518 0.035 0.242
0.704 0.408 0.203
0.981 0.962 0.522
0.719 0.438 0.809
0.883 0.767 0.817
0.112 0.225 0.734
0.117 0.233 0.317
0.888 0.775 0.234
0.592 0.184 0.966
0.408 0.816 0.466
0.795 0.591 0.510
0.205 0.409 0.010


AcSm2Y2Er2 PBE relaxed; raw total energy = -5.045 eV/atom; DOS(E_F) = 10.738 states/eV/cell; total magnetization = 0.00 Bohr magnetons per cell
1.0
5.142 0.000 0.000
-2.571 5.708 0.278
0.000 -1.541 7.996
Sm Ac Y Er
2 1 2 2
Direct
0.426 0.852 0.292
0.574 0.148 0.708
0.000 0.000 0.000
0.714 0.429 0.152
0.286 0.571 0.848
0.857 0.715 0.566
0.143 0.285 0.434


Ac5ErSn5 PBE relaxed; raw total energy = -4.569 eV/atom; DOS(E_F) = 8.382 states/eV/cell; total magnetization = 0.00 Bohr magnetons per cell
1.0
6.456 0.000 0.000
-3.228 8.553 0.474
0.000 -2.661 7.303
Sn Ac Er
5 5 1
Direct
0.837 0.675 0.079
0.500 0.000 0.000
0.840 0.679 0.661
0.160 0.321 0.339
0.163 0.325 0.921
0.686 0.373 0.283
0.647 0.293 0.771
0.000 0.000 0.500
0.314 0.627 0.717
0.353 0.707 0.229
0.000 0.000 0.000


AcEr3Sn2 PBE relaxed; raw total energy = -4.758 eV/atom; DOS(E_F) = 13.393 states/eV/cell; total magnetization = 0.01 Bohr magnetons per cell
1.0
4.768 0.000 0.000
-2.384 9.838 -0.352
0.000 -4.791 8.323
Ac Er Sn
2 6 4
Direct
0.129 0.258 0.080
0.871 0.742 0.920
0.397 0.793 0.288
0.053 0.105 0.400
0.310 0.621 0.519
0.603 0.207 0.712
0.947 0.895 0.600
0.690 0.379 0.481
0.481 0.963 0.833
0.781 0.561 0.258
0.519 0.037 0.167
0.219 0.439 0.742


AcErSn2 PBE relaxed; raw total energy = -4.776 eV/atom; DOS(E_F) = 3.383 states/eV/cell; total magnetization = 0.00 Bohr magnetons per cell
1.0
4.088 0.000 0.000
0.000 4.088 0.000
0.000 0.000 7.184
Ac Sn Er
1 2 1
Direct
0.500 0.500 0.000
0.000 0.000 0.289
0.000 0.000 0.711
0.500 0.500 0.500


Ac12Er5Sn3 PBE relaxed; raw total energy = -3.606 eV/atom; DOS(E_F) = 121.870 states/eV/cell; total magnetization = 0.00 Bohr magnetons per cell
1.0
-6.777 -9.889 -11.968
-2.540 -7.001 15.215
-7.318 15.270 -0.482
Ac Er Sn
48 20 12
Direct
0.835 0.904 0.270
0.404 0.270 0.335
0.596 0.866 0.432
0.568 0.935 0.665
0.866 0.596 0.932
0.068 0.904 0.134
0.730 0.134 0.065
0.335 0.770 0.404
0.565 0.230 0.134
0.904 0.068 0.634
0.435 0.770 0.866
0.866 0.270 0.435
0.270 0.866 0.935
0.730 0.596 0.165
0.404 0.134 0.568
0.935 0.366 0.270
0.435 0.665 0.068
0.904 0.835 0.770
0.134 0.730 0.565
0.568 0.634 0.404
0.165 0.068 0.935
0.335 0.565 0.432
0.565 0.335 0.932
0.068 0.165 0.435
0.230 0.665 0.096
0.634 0.568 0.904
0.270 0.404 0.835
0.596 0.730 0.665
0.932 0.835 0.565
0.432 0.366 0.596
0.770 0.335 0.904
0.165 0.096 0.730
0.935 0.568 0.165
0.932 0.096 0.866
0.065 0.634 0.730
0.665 0.435 0.568
0.096 0.932 0.366
0.634 0.065 0.230
0.065 0.432 0.835
0.366 0.432 0.096
0.770 0.435 0.366
0.230 0.565 0.634
0.432 0.065 0.335
0.835 0.932 0.065
0.366 0.935 0.770
0.134 0.404 0.068
0.665 0.230 0.596
0.096 0.165 0.230
0.000 0.000 0.500
0.500 0.000 0.500
0.375 0.125 0.750
0.500 0.500 0.000
0.625 0.750 0.875
0.875 0.250 0.625
0.500 0.500 0.500
0.000 0.500 0.500
0.750 0.125 0.875
0.750 0.625 0.375
0.000 0.500 0.000
0.375 0.250 0.125
0.250 0.875 0.125
0.125 0.750 0.375
0.250 0.375 0.625
0.500 0.000 0.000
0.625 0.875 0.250
0.875 0.625 0.750
0.000 0.000 0.000
0.125 0.375 0.250
0.875 0.750 0.125
0.375 0.625 0.250
0.250 0.125 0.375
0.125 0.250 0.875
0.125 0.875 0.750
0.750 0.875 0.625
0.750 0.375 0.125
0.625 0.250 0.375
0.250 0.625 0.875
0.875 0.125 0.250
0.375 0.750 0.625
0.625 0.375 0.750